Entry from Alexandria: a relaxed structure of CaTePb (GGA-PBE).

Cell: 4.1318 4.1318 12.0714 Å, 90.00 90.00 90.00°
Closest atoms and distances in Å follow each position.
Positions (direct):
Ca 0.0000 0.0000 0.0000  4 Te 3.12
Ca 0.5000 0.5000 0.5000  4 Te 3.12
Te 0.0000 0.0000 0.5898  4 Ca 3.12, 1 Pb 3.13
Te 0.5000 0.5000 0.0898  4 Ca 3.12, 1 Pb 3.13
Pb 0.0000 0.0000 0.3302  1 Te 3.13
Pb 0.5000 0.5000 0.8302  1 Te 3.13

Summary:
The energy comes out at -21.85 eV per cell. The calculation puts the density of states at the Fermi level at 0.7539 states/eV per atom.